# BeNiSb2

Crystalline BeNiSb2 at its relaxed geometry (GGA-PBE, the Alexandria database).

POSCAR file:
```
BeNiSb2
1.0
0.000 3.369 3.369
3.369 0.000 3.369
3.369 3.369 0.000
Be Ni Sb
1 1 2
Direct
0.000 0.000 0.000
0.250 0.250 0.250
0.500 0.500 0.500
0.750 0.750 0.750
```

Summary:
SG: F-43m, No. 216
Raw formation energy in eV per atom: 0.70
E_tot in eV/atom: -3.7360